1.
# LaAsWBr2, relaxed, DFT PBE-GGA
data_LaAsWBr2
_cell_length_a 5.655
_cell_length_b 5.655
_cell_length_c 6.105
_cell_angle_alpha 90.00
_cell_angle_beta 90.00
_cell_angle_gamma 90.00
_space_group_name_H-M_alt 'P 1'
_space_group_IT_number 1
loop_
_space_group_symop_operation_xyz
'x,y,z'
loop_
_atom_site_label
_atom_site_type_symbol
_atom_site_fract_x
_atom_site_fract_y
_atom_site_fract_z
La1 La 0.000 0.000 0.000
As1 As 0.000 0.000 0.500
W1 W 0.500 0.500 0.500
Br1 Br 0.000 0.500 0.000
Br2 Br 0.500 0.000 0.000
# * DOS(E_F): 4.608 states/eV/cell
# * calculated density: 4.741 g cm⁻³
# * formation energy without anion corrections: 592 meV/atom
# * space group: No. 123
# * energy above the lowest structure with this stoichiometry: 642 meV per atom



2.
# Ba2InBi4, relaxed, DFT PBE-GGA
data_Ba2InBi4
_cell_length_a 7.345
_cell_length_b 7.345
_cell_length_c 7.345
_cell_angle_alpha 123.27
_cell_angle_beta 123.27
_cell_angle_gamma 84.43
_space_group_name_H-M_alt 'P 1'
_space_group_IT_number 1
loop_
_space_group_symop_operation_xyz
'x,y,z'
loop_
_atom_site_label
_atom_site_type_symbol
_atom_site_fract_x
_atom_site_fract_y
_atom_site_fract_z
Ba1 Ba 0.000 0.500 0.500
Ba2 Ba 0.500 0.000 0.500
In1 In 0.000 0.000 0.000
Bi1 Bi 0.000 0.000 0.500
Bi2 Bi 0.000 0.500 0.000
Bi3 Bi 0.500 0.000 0.000
Bi4 Bi 0.500 0.500 0.500
# * DOS(E_F): 2.672 states/eV/cell
# * calculated density: 7.680 g cm⁻³
# * E_form: -0.495 eV per atom
# * space group: No. 139
# * energy above the lowest structure with this stoichiometry: 0 meV per atom



3.
# Al2In2Cu, relaxed, DFT PBE-GGA
data_Al2In2Cu
_cell_length_a 6.552
_cell_length_b 6.552
_cell_length_c 4.786
_cell_angle_alpha 90.00
_cell_angle_beta 90.00
_cell_angle_gamma 90.00
_space_group_name_H-M_alt 'P 1'
_space_group_IT_number 1
loop_
_space_group_symop_operation_xyz
'x,y,z'
loop_
_atom_site_label
_atom_site_type_symbol
_atom_site_fract_x
_atom_site_fract_y
_atom_site_fract_z
Al1 Al 0.146 0.354 0.000
Al2 Al 0.354 0.854 0.000
Al3 Al 0.646 0.146 0.000
Al4 Al 0.854 0.646 0.000
In1 In 0.172 0.672 0.500
In2 In 0.328 0.172 0.500
In3 In 0.672 0.828 0.500
In4 In 0.828 0.328 0.500
Cu1 Cu 0.000 0.000 0.000
Cu2 Cu 0.500 0.500 0.000
# * DOS(E_F): 3.483 states/eV/cell
# * calculated density: 5.612 g cm⁻³
# * E_form: 0.140 eV per atom
# * space group: No. 127



4.
# ReSiAsSe2, relaxed, DFT PBE-GGA
data_ReSiAsSe2
_cell_length_a 4.951
_cell_length_b 4.951
_cell_length_c 4.742
_cell_angle_alpha 90.00
_cell_angle_beta 90.00
_cell_angle_gamma 90.00
_space_group_name_H-M_alt 'P 1'
_space_group_IT_number 1
loop_
_space_group_symop_operation_xyz
'x,y,z'
loop_
_atom_site_label
_atom_site_type_symbol
_atom_site_fract_x
_atom_site_fract_y
_atom_site_fract_z
Re1 Re 0.000 0.000 0.000
Si1 Si 0.500 0.500 0.500
As1 As 0.000 0.000 0.500
Se1 Se 0.000 0.500 0.000
Se2 Se 0.500 0.000 0.000
# * DOS(E_F): 6.220 states/eV/cell
# * calculated density: 6.388 g cm⁻³
# * formation energy without anion corrections: 860 meV/atom
# * space group: No. 123
# * energy above the lowest structure with this stoichiometry: 0 meV per atom



5.
# Dy2TiAl2Ni5, relaxed, DFT PBE-GGA
data_Dy2TiAl2Ni5
_cell_length_a 9.839
_cell_length_b 9.839
_cell_length_c 3.219
_cell_angle_alpha 90.00
_cell_angle_beta 90.00
_cell_angle_gamma 90.00
_space_group_name_H-M_alt 'P 1'
_space_group_IT_number 1
loop_
_space_group_symop_operation_xyz
'x,y,z'
loop_
_atom_site_label
_atom_site_type_symbol
_atom_site_fract_x
_atom_site_fract_y
_atom_site_fract_z
Dy1 Dy 0.174 0.326 0.000
Dy2 Dy 0.326 0.826 0.000
Dy3 Dy 0.674 0.174 0.000
Dy4 Dy 0.826 0.674 0.000
Ti1 Ti 0.000 0.000 0.000
Ti2 Ti 0.500 0.500 0.000
Al1 Al 0.125 0.625 0.000
Al2 Al 0.375 0.125 0.000
Al3 Al 0.625 0.875 0.000
Al4 Al 0.875 0.375 0.000
Ni1 Ni 0.000 0.500 0.500
Ni2 Ni 0.051 0.803 0.500
Ni3 Ni 0.197 0.051 0.500
Ni4 Ni 0.303 0.551 0.500
Ni5 Ni 0.449 0.303 0.500
Ni6 Ni 0.500 0.000 0.500
Ni7 Ni 0.551 0.697 0.500
Ni8 Ni 0.697 0.449 0.500
Ni9 Ni 0.803 0.949 0.500
Ni10 Ni 0.949 0.197 0.500
# * DOS(E_F): 13.773 states/eV/cell
# * calculated density: 7.676 g cm⁻³
# * E_form: -0.408 eV per atom
# * space group: No. 127



6.
# VCdH, relaxed, DFT PBE-GGA
data_VCdH
_cell_length_a 2.990
_cell_length_b 2.990
_cell_length_c 9.237
_cell_angle_alpha 92.56
_cell_angle_beta 92.56
_cell_angle_gamma 66.18
_space_group_name_H-M_alt 'P 1'
_space_group_IT_number 1
loop_
_space_group_symop_operation_xyz
'x,y,z'
loop_
_atom_site_label
_atom_site_type_symbol
_atom_site_fract_x
_atom_site_fract_y
_atom_site_fract_z
V1 V 0.000 0.000 0.000
V2 V 0.520 0.520 0.205
Cd1 Cd 0.319 0.319 0.744
Cd2 Cd 0.911 0.911 0.461
H1 H 0.155 0.155 0.187
H2 H 0.639 0.639 0.016
# * DOS(E_F): 2.888 states/eV/cell
# * calculated density: 7.235 g cm⁻³
# * space group: No. 8
# * energy above the lowest structure with this stoichiometry: 18 meV per atom



7.
# PSe, relaxed, DFT PBE-GGA
data_PSe
_cell_length_a 5.782
_cell_length_b 5.782
_cell_length_c 9.142
_cell_angle_alpha 95.06
_cell_angle_beta 95.06
_cell_angle_gamma 30.36
_space_group_name_H-M_alt 'P 1'
_space_group_IT_number 1
loop_
_space_group_symop_operation_xyz
'x,y,z'
loop_
_atom_site_label
_atom_site_type_symbol
_atom_site_fract_x
_atom_site_fract_y
_atom_site_fract_z
P1 P 0.000 0.000 0.000
P2 P 0.022 0.022 0.246
P3 P 0.383 0.383 0.274
Se1 Se 0.397 0.397 0.532
Se2 Se 0.599 0.599 0.624
Se3 Se 0.799 0.799 0.929
# * DOS(E_F): 2.927 states/eV/cell
# * calculated density: 3.560 g cm⁻³
# * formation energy without anion corrections: 197 meV/atom
# * space group: No. 8
# * energy above the lowest structure with this stoichiometry: 277 meV per atom



8.
# LaHf2Zr, relaxed, DFT PBE-GGA
data_LaHf2Zr
_cell_length_a 5.186
_cell_length_b 5.186
_cell_length_c 5.186
_cell_angle_alpha 60.00
_cell_angle_beta 60.00
_cell_angle_gamma 60.00
_space_group_name_H-M_alt 'P 1'
_space_group_IT_number 1
loop_
_space_group_symop_operation_xyz
'x,y,z'
loop_
_atom_site_label
_atom_site_type_symbol
_atom_site_fract_x
_atom_site_fract_y
_atom_site_fract_z
La1 La 0.000 0.000 0.000
Hf1 Hf 0.250 0.250 0.250
Hf2 Hf 0.750 0.750 0.750
Zr1 Zr 0.500 0.500 0.500
# * DOS(E_F): 6.890 states/eV/cell
# * calculated density: 9.886 g cm⁻³
# * E_form: 0.299 eV per atom
# * space group: No. 225
# * energy above the lowest structure with this stoichiometry: 128 meV per atom



9.
# Tm3Ir2Rh, relaxed, DFT PBE-GGA
data_Tm3Ir2Rh
_cell_length_a 7.498
_cell_length_b 7.498
_cell_length_c 3.437
_cell_angle_alpha 90.00
_cell_angle_beta 90.00
_cell_angle_gamma 143.14
_space_group_name_H-M_alt 'P 1'
_space_group_IT_number 1
loop_
_space_group_symop_operation_xyz
'x,y,z'
loop_
_atom_site_label
_atom_site_type_symbol
_atom_site_fract_x
_atom_site_fract_y
_atom_site_fract_z
Tm1 Tm 0.000 0.000 0.000
Tm2 Tm 0.333 0.667 0.000
Tm3 Tm 0.667 0.333 0.000
Ir1 Ir 0.166 0.834 0.500
Ir2 Ir 0.834 0.166 0.500
Rh1 Rh 0.500 0.500 0.500
# * DOS(E_F): 3.028 states/eV/cell
# * calculated density: 14.244 g cm⁻³
# * E_form: -0.942 eV per atom
# * space group: No. 65
# * energy above the lowest structure with this stoichiometry: 0 meV per atom



10.
# Sm4TlBiC, relaxed, DFT PBE-GGA
data_Sm4TlBiC
_cell_length_a 8.895
_cell_length_b 8.895
_cell_length_c 7.023
_cell_angle_alpha 90.00
_cell_angle_beta 90.00
_cell_angle_gamma 133.48
_space_group_name_H-M_alt 'P 1'
_space_group_IT_number 1
loop_
_space_group_symop_operation_xyz
'x,y,z'
loop_
_atom_site_label
_atom_site_type_symbol
_atom_site_fract_x
_atom_site_fract_y
_atom_site_fract_z
Sm1 Sm 0.000 0.500 0.000
Sm2 Sm 0.000 0.500 0.500
Sm3 Sm 0.088 0.912 0.750
Sm4 Sm 0.407 0.593 0.750
Sm5 Sm 0.500 0.000 0.000
Sm6 Sm 0.500 0.000 0.500
Sm7 Sm 0.593 0.407 0.250
Sm8 Sm 0.912 0.088 0.250
Tl1 Tl 0.112 0.888 0.250
Tl2 Tl 0.888 0.112 0.750
Bi1 Bi 0.392 0.608 0.250
Bi2 Bi 0.608 0.392 0.750
C1 C 0.251 0.749 0.750
C2 C 0.749 0.251 0.250
# * DOS(E_F): 4.353 states/eV/cell
# * calculated density: 8.457 g cm⁻³
# * E_form: -0.479 eV per atom
# * space group: No. 63